--- one ---
# MgClF3

MgClF3 after structural relaxation (PBE-GGA, Alexandria via LeMat-Bulk).

Crystal system ... cubic
Spin magnetization ... 0.0 Bohr magnetons per cell
D(E_F) ... 1.94 states/eV per cell

Cell: 4.4119 4.4119 4.4119 Å, 90.00 90.00 90.00°
Sites, in units of the cell vectors:
Mg1 0.0000 0.0000 0.0000
Cl1 0.5000 0.5000 0.5000
F1 0.0000 0.5000 0.5000
F2 0.5000 0.0000 0.5000
F3 0.5000 0.5000 0.0000

***

--- two ---
# MgClF3

MgClF3 after structural relaxation (PBE-GGA, Alexandria via LeMat-Bulk).

Crystal system ... triclinic
Spin magnetization ... 0.0 Bohr magnetons per cell
D(E_F) ... 0.00 states/eV per cell

Cell: 5.3868 5.6444 6.0242 Å, 97.12 98.89 115.14°
Sites, in units of the cell vectors:
Mg1 0.1462 0.3369 0.4969
Mg2 0.8538 0.6631 0.5031
Cl1 0.3231 0.1884 0.0035
Cl2 0.6769 0.8116 0.9965
F1 0.0582 0.5574 0.3108
F2 0.1782 0.0504 0.6769
F3 0.4537 0.3313 0.3260
F4 0.5463 0.6687 0.6740
F5 0.8218 0.9496 0.3231
F6 0.9418 0.4426 0.6892

***

--- three ---
# MgClF3

MgClF3 after structural relaxation (PBE-GGA, Alexandria via LeMat-Bulk).

Crystal system ... cubic
Spin magnetization ... 2.0 Bohr magnetons per cell
D(E_F) ... 1.90 states/eV per cell

Cell: 4.0251 4.0251 4.0251 Å, 90.00 90.00 90.00°
Sites, in units of the cell vectors:
Mg1 0.0000 0.0000 0.0000
Cl1 0.5000 0.5000 0.5000
F1 0.0000 0.0000 0.5000
F2 0.0000 0.5000 0.0000
F3 0.5000 0.0000 0.0000

***

Which of them is most stable, and which least? Most stable: two; least stable: one.

***

--- one ---
# MgCl2F

MgCl2F after structural relaxation (PBE-GGA, Alexandria via LeMat-Bulk).

Crystal system ... cubic
Spin magnetization ... 4.0 Bohr magnetons per cell
D(E_F) ... 12.82 states/eV per cell

Cell: 6.4219 6.4219 6.4219 Å, 90.00 90.00 90.00°
Sites, in units of the cell vectors:
Mg1 0.0000 0.0000 0.0000
Mg2 0.0000 0.5000 0.5000
Mg3 0.5000 0.0000 0.5000
Mg4 0.5000 0.5000 0.0000
Cl1 0.2500 0.2500 0.2500
Cl2 0.2500 0.2500 0.7500
Cl3 0.2500 0.7500 0.2500
Cl4 0.2500 0.7500 0.7500
Cl5 0.7500 0.2500 0.2500
Cl6 0.7500 0.2500 0.7500
Cl7 0.7500 0.7500 0.2500
Cl8 0.7500 0.7500 0.7500
F1 0.0000 0.0000 0.5000
F2 0.0000 0.5000 0.0000
F3 0.5000 0.0000 0.0000
F4 0.5000 0.5000 0.5000

***

--- two ---
# MgCl2F

MgCl2F after structural relaxation (PBE-GGA, Alexandria via LeMat-Bulk).

Crystal system ... trigonal
Spin magnetization ... 3.0 Bohr magnetons per cell
D(E_F) ... 0.00 states/eV per cell

Cell: 3.7438 3.7438 22.0220 Å, 90.00 90.00 120.00°
Sites, in units of the cell vectors:
Mg1 0.0000 0.0000 0.0000
Mg2 0.3333 0.6667 0.6667
Mg3 0.6667 0.3333 0.3333
Cl1 0.0000 0.0000 0.3931
Cl2 0.0000 0.0000 0.6069
Cl3 0.3333 0.6667 0.0597
Cl4 0.3333 0.6667 0.2736
Cl5 0.6667 0.3333 0.7264
Cl6 0.6667 0.3333 0.9403
F1 0.0000 0.0000 0.5000
F2 0.3333 0.6667 0.1667
F3 0.6667 0.3333 0.8333

***

Which of them is most stable, and which least? Most stable: two; least stable: one.

***

--- one ---
# MgNClF2

MgNClF2 after structural relaxation (PBE-GGA, Alexandria via LeMat-Bulk).

Crystal system ... tetragonal
Spin magnetization ... 0.0 Bohr magnetons per cell
D(E_F) ... 1.93 states/eV per cell

Cell: 4.7923 4.7923 3.2934 Å, 90.00 90.00 90.00°
Sites, in units of the cell vectors:
Mg1 0.0000 0.0000 0.0000
N1 0.5000 0.5000 0.0000
Cl1 0.5000 0.5000 0.5000
F1 0.0000 0.5000 0.5000
F2 0.5000 0.0000 0.5000

***

--- two ---
# MgNClF2

MgNClF2 after structural relaxation (PBE-GGA, Alexandria via LeMat-Bulk).

Crystal system ... tetragonal
Spin magnetization ... 2.0 Bohr magnetons per cell
D(E_F) ... 1.51 states/eV per cell

Cell: 3.7030 3.7030 6.5222 Å, 90.00 90.00 90.00°
Sites, in units of the cell vectors:
Mg1 0.0000 0.0000 0.0000
N1 0.0000 0.0000 0.5000
Cl1 0.5000 0.5000 0.5000
F1 0.0000 0.5000 0.0000
F2 0.5000 0.0000 0.0000

***

Which of them is most stable, and which least? Most stable: two; least stable: one.

***

--- one ---
# MgN2ClF

MgN2ClF after structural relaxation (PBE-GGA, Alexandria via LeMat-Bulk).

Crystal system ... tetragonal
Spin magnetization ... 0.6 Bohr magnetons per cell
D(E_F) ... 1.98 states/eV per cell

Cell: 3.6504 3.6504 4.8583 Å, 90.00 90.00 90.00°
Sites, in units of the cell vectors:
Mg1 0.0000 0.0000 0.0000
N1 0.0000 0.5000 0.5000
N2 0.5000 0.0000 0.5000
Cl1 0.5000 0.5000 0.5000
F1 0.5000 0.5000 0.0000

***

--- two ---
# MgN2ClF

MgN2ClF after structural relaxation (PBE-GGA, Alexandria via LeMat-Bulk).

Crystal system ... tetragonal
Spin magnetization ... 3.9 Bohr magnetons per cell
D(E_F) ... 4.48 states/eV per cell

Cell: 4.4853 4.4853 3.7382 Å, 90.00 90.00 90.00°
Sites, in units of the cell vectors:
Mg1 0.0000 0.0000 0.0000
N1 0.0000 0.5000 0.0000
N2 0.5000 0.0000 0.0000
Cl1 0.5000 0.5000 0.5000
F1 0.0000 0.0000 0.5000

***

Which of them is most stable, and which least? Most stable: two; least stable: one.